First-principles (GGA-PBE) data for crystalline NaPaPdS3 at its relaxed geometry, as listed in Alexandria.

a = 3.9899 Å, b = 6.7733 Å, c = 10.2086 Å
α = 90.00°, β = 90.00°, γ = 107.13°
Last column: nearest neighbours and their distance in Å.
Sites, in units of the cell vectors:
1 Na 0.7477 0.4954 0.7500  6 S 3.00-3.25
2 Na 0.2523 0.5046 0.2500  6 S 3.00-3.25
3 Pa 0.0000 0.0000 0.5000  6 S 2.70-2.73
4 Pa 0.0000 0.0000 0.0000  6 S 2.70-2.73
5 Pd 0.4616 0.9233 0.7500  4 S 2.41-2.48
6 Pd 0.5384 0.0767 0.2500  4 S 2.41-2.48
7 S 0.6348 0.2697 0.4518  1 Pd 2.41, 2 Pa 2.70
8 S 0.3652 0.7303 0.5482  1 Pd 2.41, 2 Pa 2.70
9 S 0.3652 0.7303 0.9518  1 Pd 2.41, 2 Pa 2.70
10 S 0.6348 0.2697 0.0482  1 Pd 2.41, 2 Pa 2.70
11 S 0.0749 0.1499 0.7500  2 Pd 2.48, 2 Pa 2.73
12 S 0.9251 0.8501 0.2500  2 Pd 2.48, 2 Pa 2.73

* DFT total energy: -6.041 eV per atom
* size of the total moment: 0.000 μB/f.u.
* uncorrected formation energy: -1.3090 eV/atom